[1]
Below is a geometry-optimized AsPb6S2Cl3 structure, with properties calculated at the PBE-GGA level.

Cell: 7.3047 7.3047 7.3309 Å, 98.65 98.65 112.33°
Last column: nearest neighbours and their distance in Å.
Positions (direct):
As 0.0000 0.0000 0.0000  6 Pb 2.96-2.97
Pb 0.0716 0.4055 0.2196  1 As 2.96, 2 S 2.98-2.99, 3 Cl 3.19-3.26
Pb 0.2543 0.2543 0.7760  1 As 2.97, 2 S 2.98, 3 Cl 3.17-3.21
Pb 0.4055 0.0716 0.2196  1 As 2.96, 2 S 2.98-2.99, 3 Cl 3.19-3.26
Pb 0.5945 0.9284 0.7804  1 As 2.96, 2 S 2.98-2.99, 3 Cl 3.19-3.26
Pb 0.7457 0.7457 0.2240  1 As 2.97, 2 S 2.98, 3 Cl 3.17-3.21
Pb 0.9284 0.5945 0.7804  1 As 2.96, 2 S 2.98-2.99, 3 Cl 3.19-3.26
S 0.3358 0.6642 0.0000  6 Pb 2.98-2.99
S 0.6642 0.3358 0.0000  6 Pb 2.98-2.99
Cl 0.1638 0.8362 0.5000  6 Pb 3.17-3.26
Cl 0.5000 0.5000 0.5000  6 Pb 3.21-3.24
Cl 0.8362 0.1638 0.5000  6 Pb 3.17-3.26

- N(E_F) (states/eV/atom) = 0.319
- total DFT energy (no corrections) (eV/cell) = -47.0
- crystal system = monoclinic

[2]
Below is a geometry-optimized RbAgSnI2 structure, with properties calculated at the PBE-GGA level.

Cell: 5.8271 5.8271 6.3902 Å, 90.00 90.00 90.00°
Last column: nearest neighbours and their distance in Å.
Positions (direct):
Rb 0.0000 0.0000 0.0000  2 Ag 3.20
Ag 0.0000 0.0000 0.5000  4 I 2.91, 2 Rb 3.20
Sn 0.5000 0.5000 0.0000  4 Rb 4.12, 8 I 4.32
I 0.0000 0.5000 0.5000  2 Ag 2.91
I 0.5000 0.0000 0.5000  2 Ag 2.91

- N(E_F) (states/eV/atom) = 0.256
- total DFT energy (no corrections) (eV/cell) = -10.8
- crystal system = tetragonal

[3]
Below is a geometry-optimized MgTeOsN2 structure, with properties calculated at the PBE-GGA level.

Cell: 3.8783 3.8783 5.7817 Å, 90.00 90.00 90.00°
Last column: nearest neighbours and their distance in Å.
Positions (direct):
Mg 0.0000 0.0000 0.0000  4 Te 2.74
Te 0.5000 0.5000 0.0000  4 Mg 2.74, 2 Os 2.89
Os 0.5000 0.5000 0.5000  4 N 1.94
N 0.0000 0.5000 0.5000  2 Os 1.94
N 0.5000 0.0000 0.5000  2 Os 1.94

- N(E_F) (states/eV/atom) = 0.541
- offset from the most stable computed form (meV per atom) = 0.0
- total DFT energy (no corrections) (eV/cell) = -30.7
- crystal system = tetragonal

[4]
Below is a geometry-optimized CsHfAs2Br structure, with properties calculated at the PBE-GGA level.

Cell: 5.1771 5.1771 5.8603 Å, 90.00 90.00 90.00°
Last column: nearest neighbours and their distance in Å.
Positions (direct):
Cs 0.0000 0.0000 0.0000  4 Br 3.66, 8 As 3.91
Hf 0.5000 0.5000 0.5000  4 As 2.59
As 0.0000 0.5000 0.5000  2 Hf 2.59
As 0.5000 0.0000 0.5000  2 Hf 2.59
Br 0.5000 0.5000 0.0000  2 Hf 2.93

- N(E_F) (states/eV/atom) = 0.344
- offset from the most stable computed form (meV per atom) = 0.0
- total DFT energy (no corrections) (eV/cell) = -25.0
- crystal system = tetragonal

[5]
Below is a geometry-optimized Er3PuBi4 structure, with properties calculated at the PBE-GGA level.

Cell: 6.3234 6.3234 6.3234 Å, 90.00 90.00 90.00°
Last column: nearest neighbours and their distance in Å.
Positions (direct):
Er 0.0000 0.0000 0.5000  6 Bi 3.16
Er 0.0000 0.5000 0.0000  6 Bi 3.16
Er 0.5000 0.0000 0.0000  6 Bi 3.16
Pu 0.5000 0.5000 0.5000  6 Bi 3.16
Bi 0.0000 0.0000 0.0000  6 Er 3.16
Bi 0.0000 0.5000 0.5000  4 Er 3.16, 2 Pu 3.16
Bi 0.5000 0.0000 0.5000  4 Er 3.16, 2 Pu 3.16
Bi 0.5000 0.5000 0.0000  4 Er 3.16, 2 Pu 3.16

- N(E_F) (states/eV/atom) = 2.317
- offset from the most stable computed form (meV per atom) = 6.6
- total DFT energy (no corrections) (eV/cell) = -49.0
- ΔH_f (0 K) (meV/atom) = -677.4
- crystal system = cubic

[6]
Below is a geometry-optimized Tb2Pm2Tm5 structure, with properties calculated at the PBE-GGA level.

Cell: 3.5188 8.6127 9.6454 Å, 76.76 88.58 89.33°
Last column: nearest neighbours and their distance in Å.
Positions (direct):
Tb 0.2384 0.4814 0.3465  6 Tm 3.41-3.78, 4 Tb 3.44-3.60, 2 Pm 3.57-3.61
Tb 0.7616 0.5186 0.6535  6 Tm 3.41-3.78, 4 Tb 3.44-3.60, 2 Pm 3.57-3.61
Pm 0.2318 0.8181 0.7857  6 Tm 3.18-3.53, 2 Pm 3.52
Pm 0.7682 0.1819 0.2143  6 Tm 3.18-3.53, 2 Pm 3.52
Tm 0.2210 0.1751 0.8858  6 Tm 3.40-3.64, 3 Pm 3.43-3.76, 2 Tb 3.66-3.78
Tm 0.2626 0.8574 0.4253  3 Pm 3.41-3.53, 3 Tb 3.49-3.68, 6 Tm 3.52-3.59
Tm 0.5000 0.5000 0.0000  2 Pm 3.18, 4 Tm 3.40-3.52, 2 Tb 3.41
Tm 0.7374 0.1426 0.5747  3 Pm 3.41-3.53, 3 Tb 3.49-3.68, 6 Tm 3.52-3.59
Tm 0.7790 0.8249 0.1142  6 Tm 3.40-3.64, 3 Pm 3.43-3.76, 2 Tb 3.66-3.78

- N(E_F) (states/eV/atom) = 1.625
- offset from the most stable computed form (meV per atom) = 32.6
- total DFT energy (no corrections) (eV/cell) = -40.5
- ΔH_f (0 K) (meV/atom) = 69.1
- crystal system = triclinic

[7]
Below is a geometry-optimized BaGe2IrS8 structure, with properties calculated at the PBE-GGA level.

Cell: 5.9459 5.9459 8.9487 Å, 90.00 90.00 120.00°
Last column: nearest neighbours and their distance in Å.
Positions (direct):
Ba 0.0000 0.0000 0.0000  12 S 3.45-3.59
Ge 0.3333 0.6667 0.7167  4 S 2.20-2.27
Ge 0.6667 0.3333 0.2833  4 S 2.20-2.27
Ir 0.0000 0.0000 0.5000  6 S 2.36
S 0.0392 0.7042 0.3413  1 Ge 2.27, 1 Ir 2.36
S 0.2958 0.3349 0.3413  1 Ge 2.27, 1 Ir 2.36
S 0.3333 0.6667 0.9631  1 Ge 2.20
S 0.3349 0.0392 0.6587  1 Ge 2.27, 1 Ir 2.36
S 0.6651 0.9608 0.3413  1 Ge 2.27, 1 Ir 2.36
S 0.6667 0.3333 0.0369  1 Ge 2.20
S 0.7042 0.6651 0.6587  1 Ge 2.27, 1 Ir 2.36
S 0.9608 0.2958 0.6587  1 Ge 2.27, 1 Ir 2.36

- N(E_F) (states/eV/atom) = 0.974
- total DFT energy (no corrections) (eV/cell) = -58.2
- crystal system = trigonal

[8]
Below is a geometry-optimized PuMnB4 structure, with properties calculated at the PBE-GGA level.

Cell: 5.9219 11.4650 3.3764 Å, 90.00 90.00 90.00°
Last column: nearest neighbours and their distance in Å.
Positions (direct):
Pu 0.1255 0.1506 0.0000  14 B 2.59-2.71
Pu 0.3745 0.6506 0.0000  14 B 2.59-2.71
Pu 0.6255 0.3494 0.0000  14 B 2.59-2.71
Pu 0.8745 0.8494 0.0000  14 B 2.59-2.71
Mn 0.1306 0.4129 0.0000  10 B 2.21-2.28
Mn 0.3694 0.9129 0.0000  10 B 2.21-2.28
Mn 0.6306 0.0871 0.0000  10 B 2.21-2.28
Mn 0.8694 0.5871 0.0000  10 B 2.21-2.28
B 0.0249 0.6904 0.5000  3 B 1.73-1.84
B 0.1126 0.5460 0.5000  3 B 1.70-1.73
B 0.1382 0.9671 0.5000  3 B 1.73-1.80
B 0.2185 0.8154 0.5000  3 B 1.80-1.84
B 0.2815 0.3154 0.5000  3 B 1.80-1.84
B 0.3618 0.4671 0.5000  3 B 1.73-1.80
B 0.3874 0.0460 0.5000  3 B 1.70-1.73
B 0.4751 0.1904 0.5000  3 B 1.73-1.84
B 0.5249 0.8096 0.5000  3 B 1.73-1.84
B 0.6126 0.9540 0.5000  3 B 1.70-1.73
B 0.6382 0.5329 0.5000  3 B 1.73-1.80
B 0.7185 0.6846 0.5000  3 B 1.80-1.84
B 0.7815 0.1846 0.5000  3 B 1.80-1.84
B 0.8618 0.0329 0.5000  3 B 1.73-1.80
B 0.8874 0.4540 0.5000  3 B 1.70-1.73
B 0.9751 0.3096 0.5000  3 B 1.73-1.84

- N(E_F) (states/eV/atom) = 1.052
- total DFT energy (no corrections) (eV/cell) = -214.2
- ΔH_f (0 K) (meV/atom) = -556.3
- crystal system = orthorhombic

[9]
Below is a geometry-optimized TmCd2Ag6 structure, with properties calculated at the PBE-GGA level.

Cell: 8.4568 8.4568 3.0536 Å, 99.98 99.98 60.62°
Last column: nearest neighbours and their distance in Å.
Positions (direct):
Tm 0.0000 0.0000 0.0000  8 Ag 2.93-3.08, 2 Tm 3.05
Cd 0.3290 0.3290 0.3279  8 Ag 2.89-2.97, 2 Cd 3.05
Cd 0.6710 0.6710 0.6721  8 Ag 2.89-2.97, 2 Cd 3.05
Ag 0.0351 0.6327 0.8322  3 Cd 2.89-2.97, 1 Tm 2.93, 6 Ag 2.96-3.05
Ag 0.3137 0.6863 0.5000  2 Cd 2.92, 7 Ag 2.97-3.18, 2 Tm 3.08
Ag 0.3673 0.9649 0.1678  3 Cd 2.89-2.97, 1 Tm 2.93, 6 Ag 2.96-3.05
Ag 0.6327 0.0351 0.8322  3 Cd 2.89-2.97, 1 Tm 2.93, 6 Ag 2.96-3.05
Ag 0.6863 0.3137 0.5000  2 Cd 2.92, 7 Ag 2.97-3.18, 2 Tm 3.08
Ag 0.9649 0.3673 0.1678  3 Cd 2.89-2.97, 1 Tm 2.93, 6 Ag 2.96-3.05

- N(E_F) (states/eV/atom) = 0.379
- offset from the most stable computed form (meV per atom) = 177.2
- total DFT energy (no corrections) (eV/cell) = -23.0
- ΔH_f (0 K) (meV/atom) = 48.0
- crystal system = monoclinic

[10]
Below is a geometry-optimized Sr3Pb4 structure, with properties calculated at the PBE-GGA level.

Cell: 7.3340 7.3340 5.7329 Å, 90.00 90.00 120.00°
Last column: nearest neighbours and their distance in Å.
Positions (direct):
Sr 0.0000 0.5000 0.0000  8 Pb 3.56-3.93, 4 Sr 3.67
Sr 0.5000 0.0000 0.0000  8 Pb 3.56-3.93, 4 Sr 3.67
Sr 0.5000 0.5000 0.0000  8 Pb 3.56-3.93, 4 Sr 3.67
Pb 0.0000 0.0000 0.2443  2 Pb 2.80-2.93
Pb 0.0000 0.0000 0.7557  2 Pb 2.80-2.93
Pb 0.3333 0.6667 0.5000  6 Sr 3.56
Pb 0.6667 0.3333 0.5000  6 Sr 3.56

- N(E_F) (states/eV/atom) = 0.355
- offset from the most stable computed form (meV per atom) = 354.7
- total DFT energy (no corrections) (eV/cell) = -20.7
- ΔH_f (0 K) (meV/atom) = -122.2
- crystal system = hexagonal

[11]
Below is a geometry-optimized WSeCl2 structure, with properties calculated at the PBE-GGA level.

Cell: 3.1925 3.1925 9.9397 Å, 90.00 90.00 120.77°
Last column: nearest neighbours and their distance in Å.
Positions (direct):
W 0.0000 0.0000 0.0000  2 Cl 2.48, 2 Se 2.48
Se 0.5000 0.5000 0.1925  2 W 2.48
Cl 0.0000 0.0000 0.4866  6 Cl 3.16-3.19, 2 Se 3.32
Cl 0.5000 0.5000 0.8078  2 W 2.48

- N(E_F) (states/eV/atom) = 0.862
- offset from the most stable computed form (meV per atom) = 709.5
- total DFT energy (no corrections) (eV/cell) = -19.1
- crystal system = orthorhombic

[12]
Below is a geometry-optimized TbTmNiRu structure, with properties calculated at the PBE-GGA level.

Cell: 4.7724 4.7724 4.7724 Å, 60.00 60.00 60.00°
Last column: nearest neighbours and their distance in Å.
Positions (direct):
Tb 0.0000 0.0000 0.0000  4 Ru 2.92, 4 Ni 2.92
Tm 0.5000 0.5000 0.5000  4 Ni 2.92, 4 Ru 2.92
Ni 0.2500 0.2500 0.2500  4 Tb 2.92, 4 Tm 2.92
Ru 0.7500 0.7500 0.7500  4 Tb 2.92, 4 Tm 2.92

- N(E_F) (states/eV/atom) = 0.626
- offset from the most stable computed form (meV per atom) = 20.2
- total DFT energy (no corrections) (eV/cell) = -25.8
- ΔH_f (0 K) (meV/atom) = -417.6
- crystal system = cubic